1.
## NaCd9Au3 (PBE-GGA)

Data for crystalline NaCd9Au3 at its relaxed geometry.

Geometry as extended XYZ:
```
13
Lattice="5.222 0.094 2.120 2.610 7.199 1.060 -0.063 0.047 7.648" Properties=species:S:1:pos:R:3 pbc="T T T"
Au 3.916 3.647 1.590
Cd 6.064 2.602 7.427
Cd 3.530 4.785 6.398
Cd 4.239 2.555 4.429
Au -0.031 0.024 3.824
Na 0.000 0.000 0.000
Cd 4.625 5.741 3.518
Cd 3.145 1.599 7.309
Cd 1.305 3.599 0.530
Cd 5.705 5.788 8.348
Cd 1.706 4.738 3.400
Au 2.580 0.071 4.884
Cd 2.064 1.552 2.478
```

Computed properties:
ΔE_f, meV/atom: -129


2.
## NaCd3Au5 (PBE-GGA)

Data for crystalline NaCd3Au5 at its relaxed geometry.

Geometry as extended XYZ:
```
18
Lattice="-1.148 -4.548 -3.479 5.674 -4.591 4.130 -7.991 0.072 2.543" Properties=species:S:1:pos:R:3 pbc="T T T"
Cd 2.662 -5.704 4.127
Au -1.044 -2.612 1.309
Au 3.534 -4.230 1.912
Au 0.545 -5.311 1.862
Cd 1.647 -2.703 0.539
Au -2.422 -6.455 1.886
Cd -1.651 -4.952 -0.334
Au -4.010 -3.756 1.333
Au 1.119 -3.037 3.601
Cd -6.128 -3.363 -0.933
Na -0.574 -2.274 -1.739
Au 0.004 -5.680 4.973
Cd 2.878 -6.437 0.113
Au -3.470 -3.387 -1.779
Au -3.436 -1.482 3.072
Cd -1.814 -4.115 3.528
Na 0.000 0.000 0.000
Au 0.991 -4.910 -1.261
```

Computed properties:
ΔE_f, meV/atom: -140


3.
## Na4Cd5Au2 (PBE-GGA)

Data for crystalline Na4Cd5Au2 at its relaxed geometry.

Geometry as extended XYZ:
```
11
Lattice="-0.052 0.334 -3.285 -3.327 -6.970 -0.656 -9.025 4.903 0.640" Properties=species:S:1:pos:R:3 pbc="T T T"
Cd -1.663 -3.485 -0.328
Au -6.361 -4.804 -0.388
Na -3.899 -5.148 -2.121
Na -4.955 0.592 -1.522
Cd -2.259 -0.593 -0.025
Au -5.991 2.737 0.372
Cd -4.587 -2.514 -0.183
Na -8.504 3.414 -1.179
Cd -10.093 -1.474 0.009
Na -7.449 -2.326 -1.779
Cd -7.765 0.447 0.167
```

Computed properties:
ΔE_f, meV/atom: -156


4.
## Na3CdAu2 (PBE-GGA)

Data for crystalline Na3CdAu2 at its relaxed geometry.

Geometry as extended XYZ:
```
12
Lattice="6.226 0.000 0.000 0.000 6.224 0.000 -3.113 -3.112 7.810" Properties=species:S:1:pos:R:3 pbc="T T T"
Cd 0.000 1.556 0.000
Cd 0.000 4.668 0.000
Na 3.113 4.668 0.000
Au -1.628 0.000 5.854
Au 1.628 3.112 5.854
Na 1.612 3.112 2.829
Na 1.501 0.000 4.981
Na -1.501 3.112 4.981
Au 4.741 3.112 1.955
Na 4.614 0.000 2.829
Na 3.113 1.556 0.000
Au 1.485 0.000 1.955
```

Computed properties:
Polymorph energy (0 for the lowest one), eV/atom: 0.017
ΔE_f, meV/atom: -239


5.
## Na2Cd3Au4 (PBE-GGA)

Data for crystalline Na2Cd3Au4 at its relaxed geometry.

Geometry as extended XYZ:
```
18
Lattice="-7.305 0.997 -1.448 1.138 -7.095 2.298 -1.121 2.127 7.124" Properties=species:S:1:pos:R:3 pbc="T T T"
Au -0.492 -5.363 5.162
Au -4.784 -1.570 4.745
Cd -2.298 -0.085 4.900
Au -1.392 -1.574 7.125
Na -4.202 -0.032 1.983
Cd -3.083 -3.049 0.425
Au -2.504 -2.400 3.229
Au -3.611 1.781 6.506
Cd -6.153 0.798 5.461
Au -6.796 1.393 2.812
Cd -1.135 -4.768 2.513
Na -6.923 -3.090 6.436
Au -5.896 -2.396 0.849
Na -3.086 -3.938 5.991
Na -0.365 -0.880 1.538
Cd 0.008 -2.484 4.711
Au -3.677 -5.751 1.468
Cd -4.990 -3.886 3.074
```

Computed properties:
Polymorph energy (0 for the lowest one), eV/atom: 0.005
ΔE_f, meV/atom: -253


6.
## NaCd8Au2 (PBE-GGA)

Data for crystalline NaCd8Au2 at its relaxed geometry.

Geometry as extended XYZ:
```
11
Lattice="5.321 0.044 -0.701 -1.399 6.913 -2.321 -0.057 -0.631 7.398" Properties=species:S:1:pos:R:3 pbc="T T T"
Cd 2.258 1.334 4.545
Cd 1.607 4.993 -0.169
Cd 3.673 4.191 4.604
Cd 0.508 0.356 2.065
Cd 0.192 2.135 -0.228
Cd 3.124 2.477 1.491
Au -0.985 4.584 0.680
Cd 0.741 3.849 2.885
Na 2.660 0.022 -0.350
Au -0.471 1.698 4.397
Cd 3.356 5.971 2.312
```

Computed properties:
Polymorph energy (0 for the lowest one), eV/atom: 0.000
ΔE_f, meV/atom: -68


7.
## Na2CdNiAu (PBE-GGA)

Data for crystalline Na2CdNiAu at its relaxed geometry.

Geometry as extended XYZ:
```
5
Lattice="5.165 0.000 0.000 0.000 4.910 0.000 0.000 0.000 5.165" Properties=species:S:1:pos:R:3 pbc="T T T"
Na 2.583 0.000 0.000
Au 2.583 2.455 2.583
Cd 0.000 2.455 0.000
Ni 0.000 0.000 0.000
Na 0.000 0.000 2.583
```

Computed properties:
ΔE_f, meV/atom: 369


8.
## NaCd2AuO4 (PBE-GGA)

Data for crystalline NaCd2AuO4 at its relaxed geometry.

Geometry as extended XYZ:
```
16
Lattice="-5.810 0.935 -2.727 2.184 -2.761 -5.447 0.128 -3.899 5.673" Properties=species:S:1:pos:R:3 pbc="T T T"
O -3.462 -1.863 -0.672
O -3.827 -3.614 2.310
Cd 0.064 -1.949 2.836
Cd -1.813 -0.913 -4.087
Na 1.092 -1.380 -2.723
O 0.329 -2.110 -4.811
Cd -2.905 0.468 -1.363
O -2.988 -1.899 -6.206
O -0.509 -3.825 3.706
Cd -2.841 -1.482 1.473
Au -1.749 -2.862 -1.250
O -0.035 -3.861 -1.829
Na -4.654 -2.394 -2.614
O -2.383 -2.789 -3.219
O -1.114 -2.935 0.718
Au -5.682 -2.963 2.946
```

Computed properties:
Uncorrected formation energy, kJ per mole of atoms: -81.8


So what do the calculations give for total moment? Going down the list: 0.00, 0.00, 0.00, 0.00, 0.00, 0.00, 0.00, 0.00 μB per cell.
So what do the calculations give for volume? Going down the list: 22.04, 19.76, 23.91, 25.22, 22.35, 23.99, 26.20, 14.02 Å³ per atom.